Compound: CrCuOsPt2
Source: Alexandria via LeMat-Bulk
Functional: GGA-PBE
Structure: optimized geometry

Properties
- Fermi-level density of states (states/eV/f.u.) = 4.258
- calculated volume (Å³/atom) = 21.5
- energy of formation from the pure elements (eV per atom) = 1.301

Cell: 4.8059 4.8059 4.6472 Å, 90.00 90.00 90.00°
Element x y z (fractional)
Cr: 0.0000 0.0000 0.0000
Cu: 0.5000 0.5000 0.0000
Os: 0.5000 0.5000 0.5000
Pt: 0.0000 0.5000 0.5000
Pt: 0.5000 0.0000 0.5000